# 1
Li2HgHPt, optimized geometry, DFT PBE; ΔE to the lowest computed polymorph = 0 meV per atom; space group = P4/mmm
1.0
-0.774 -1.881 3.626
3.552 -2.131 -0.347
1.820 2.739 1.809
Hg Li H Pt
1 2 1 1
Direct
0.500 0.500 0.500
0.500 0.000 0.000
0.000 0.500 0.000
0.000 0.000 0.000
0.000 0.000 0.500

# 2
AlVBr2, optimized geometry, DFT PBE; ΔE_f (raw) = 0.268 eV per atom; ΔE to the lowest computed polymorph = 406 meV per atom; space group = Fm-3m
1.0
-1.162 3.066 3.847
-4.644 1.964 0.353
-3.143 -1.580 3.630
Al V Br
1 1 2
Direct
0.000 0.000 0.000
0.500 0.500 0.500
0.250 0.250 0.250
0.750 0.750 0.750

# 3
SmDyPbS, optimized geometry, DFT PBE; ΔE_f (raw) = -1.222 eV per atom; space group = P1
1.0
-0.701 0.078 3.772
1.539 -3.133 -1.584
7.506 4.019 -0.652
Dy Sm Pb S
1 1 1 1
Direct
0.933 0.365 0.313
0.339 0.568 0.920
0.466 0.130 0.614
0.140 0.968 0.122

# 4
TeO, optimized geometry, DFT PBE; ΔE_f (raw) = -0.390 eV per atom; ΔE to the lowest computed polymorph = 152 meV per atom; space group = Pm
1.0
3.178 0.000 -0.001
0.000 4.031 0.000
-0.017 0.000 3.182
O Te
1 1
Direct
0.808 0.000 0.233
0.754 0.500 0.168

# 5
SiRh2Pb, optimized geometry, DFT PBE; ΔE_f (raw) = 0.237 eV per atom; ΔE to the lowest computed polymorph = 654 meV per atom; space group = F-43m
1.0
-0.909 3.572 2.718
-1.446 -0.696 4.289
2.758 0.953 3.530
Rh Si Pb
2 1 1
Direct
0.000 0.000 0.000
0.250 0.250 0.250
0.750 0.750 0.750
0.500 0.500 0.500

# 6
Fe2Pd8Pt, optimized geometry, DFT PBE; ΔE to the lowest computed polymorph = 0 meV per atom; energy of formation = -0.09 eV per atom; space group = C2/m
1.0
3.937 0.000 0.000
0.000 6.215 0.308
-1.968 -2.319 6.605
Pd Fe Pt
8 2 1
Direct
0.401 0.540 0.801
0.145 0.204 0.291
0.855 0.796 0.709
0.599 0.460 0.199
0.318 0.086 0.636
0.046 0.730 0.092
0.682 0.914 0.364
0.954 0.270 0.908
0.776 0.351 0.552
0.224 0.649 0.448
0.500 0.000 0.000

# 7
Sc2MoOs, optimized geometry, DFT PBE; energy of formation = 0.04 eV per atom; space group = Cmmm
1.0
-3.264 1.290 -2.992
-1.158 -4.417 -0.651
-2.160 0.206 2.445
Mo Os Sc
1 1 2
Direct
0.500 0.000 0.500
0.000 0.500 0.500
0.000 0.000 0.000
0.500 0.500 0.000

# 8
Rb2Ho2NpTe6, optimized geometry, DFT PBE; ΔE_f (raw) = -1.165 eV per atom; space group = C2/m
1.0
-3.890 -5.988 -2.813
5.545 -1.122 5.186
-6.455 3.185 5.676
Rb Te Np Ho
2 6 1 2
Direct
0.833 0.167 0.000
0.167 0.833 0.000
0.267 0.267 0.304
0.733 0.733 0.696
0.398 0.068 0.697
0.602 0.932 0.303
0.932 0.602 0.303
0.068 0.398 0.697
0.000 0.000 0.500
0.332 0.668 0.500
0.668 0.332 0.500